[1]
An optimized crystal structure of Pa3Zn7Au2, computed with PBE.

```
Pa3Zn7Au2
1.0
2.671 1.542 9.051
-2.671 1.542 9.051
0.000 -3.084 9.051
Pa Zn Au
3 7 2
direct
0.000 0.000 0.000
0.152 0.152 0.152
0.848 0.848 0.848
0.077 0.586 0.586
0.414 0.414 0.923
0.414 0.923 0.414
0.500 0.500 0.500
0.586 0.077 0.586
0.586 0.586 0.077
0.923 0.414 0.414
0.336 0.336 0.336
0.664 0.664 0.664
```

Properties
DFT formation energy, eV/f.u.: -1.93
Symmetry: R-3m, No. 166

=====

[2]
An optimized crystal structure of Dy4In2F, computed with PBE.

```
Dy4In2F
1.0
-2.314 2.314 8.624
2.314 -2.314 8.624
2.314 2.314 -8.624
Dy In F
4 2 1
direct
0.000 0.500 0.500
0.183 0.183 0.000
0.500 0.000 0.500
0.817 0.817 0.000
0.366 0.366 0.000
0.634 0.634 0.000
0.000 0.000 0.000
```

Properties
E_form (uncorrected), eV/atom: -0.897
Symmetry: I4/mmm, No. 139

=====

[3]
An optimized crystal structure of Na2PrCd9, computed with PBE.

```
Na2PrCd9
1.0
2.978 1.719 9.656
-2.978 1.719 9.656
0.000 -3.439 9.656
Na Pr Cd
2 1 9
direct
0.143 0.143 0.143
0.857 0.857 0.857
0.000 0.000 0.000
0.079 0.588 0.588
0.335 0.335 0.335
0.412 0.412 0.921
0.412 0.921 0.412
0.500 0.500 0.500
0.588 0.079 0.588
0.588 0.588 0.079
0.665 0.665 0.665
0.921 0.412 0.412
```

Properties
DFT formation energy, eV/f.u.: -1.61
Symmetry: R-3m, No. 166

=====

[4]
An optimized crystal structure of NdHo3Sc6, computed with PBE.

```
NdHo3Sc6
1.0
5.236 -8.954 0.000
5.236 8.954 0.000
0.000 0.000 5.875
Nd Ho Sc
2 6 12
direct
0.214 0.786 0.500
0.786 0.214 0.000
0.075 0.283 0.290
0.283 0.075 0.790
0.398 0.602 0.386
0.602 0.398 0.886
0.717 0.925 0.290
0.925 0.717 0.790
0.018 0.450 0.682
0.049 0.951 0.250
0.275 0.383 0.833
0.297 0.703 0.951
0.383 0.275 0.333
0.450 0.018 0.182
0.550 0.982 0.682
0.617 0.725 0.833
0.703 0.297 0.451
0.725 0.617 0.333
0.951 0.049 0.750
0.982 0.550 0.182
```

Properties
DFT formation energy, eV/f.u.: 1.57
E above lowest polymorph, eV/f.u.: 0.00
Symmetry: Cmc2_1, No. 36